{
  "formula": "BaV2SbO8",
  "functional": "PBE with a Hubbard U",
  "state": "relaxed",
  "lattice": [[5.568, 0.000, 0.000], [-2.784, 4.822, 0.000], [0.000, 0.000, 7.531]],
  "species": ["Ba", "V", "V", "Sb", "O", "O", "O", "O", "O", "O", "O", "O"],
  "frac_coords": [[0.000, 0.000, 0.000], [0.333, 0.667, 0.742], [0.667, 0.333, 0.258], [0.000, 0.000, 0.500], [0.092, 0.323, 0.675], [0.231, 0.908, 0.675], [0.323, 0.231, 0.325], [0.333, 0.667, 0.965], [0.667, 0.333, 0.035], [0.677, 0.769, 0.675], [0.769, 0.092, 0.325], [0.908, 0.677, 0.325]],
  "vol_a3_per_atom": 16.85,
  "space_group": "No. 147",
  "rho_g_cm3": 4.02,
  "final_energy_ev_per_atom": -7.0132
}